(1)
Here is a crystal of CoSe2N2 relaxed with PBEsol from Alexandria via LeMat-Bulk. Energies are from meta-GGA SCAN.

Unit cell a=3.5795 b=3.5795 c=5.4599 alpha=90.00 beta=90.00 gamma=90.00
Last column: nearest neighbours and their distance in Å.
Positions (direct):
Se 0.5000 0.5000 0.5000  4 Se 2.53
Se 0.0000 0.0000 0.5000  4 Se 2.53, 2 Co 2.73
Co 0.0000 0.0000 0.0000  4 N 1.79
N 0.5000 0.0000 0.0000  2 Co 1.79
N 0.0000 0.5000 0.0000  2 Co 1.79

Output
- DOS at the Fermi energy (states/eV/f.u.) = 2.1
- space-group type = P4/mmm
- energy relative to the lowest polymorph listed for this composition (eV per atom) = 0.0000
- total energy (eV/atom) = -14.1779
- ΔE_f (raw) (eV per atom) = 1.031

***

(2)
Here is a crystal of Co2SeN relaxed with PBEsol from Alexandria via LeMat-Bulk. Energies are from meta-GGA SCAN.

Unit cell a=4.4670 b=4.4670 c=5.9178 alpha=112.17 beta=112.17 gamma=90.00
Last column: nearest neighbours and their distance in Å.
Positions (direct):
Co 0.7738 0.3750 0.2500  2 N 1.80
Co 0.4762 0.8750 0.2500  2 N 1.80
Co 0.1250 0.2262 0.7500  2 N 1.80
Co 0.6250 0.5238 0.7500  2 N 1.80
N 0.5000 0.5000 0.0000  4 Co 1.80
N 0.7500 0.2500 0.5000  4 Co 1.80
Se 0.0000 0.0000 0.0000  4 Co 2.30
Se 0.2500 0.7500 0.5000  4 Co 2.30

Output
- DOS at the Fermi energy (states/eV/f.u.) = 3.1
- space-group type = I-42d
- total energy (eV/atom) = -15.9575
- ΔE_f (raw) (eV per atom) = 0.037

***

Q: What is the DOS at the Fermi energy in the first record?
A: 2.1 states/eV/f.u.